Record 1
13
Lattice="0.131 -5.187 0.866 3.812 -3.328 -4.533 5.082 -1.854 4.109" Properties=species:S:1:pos:R:3 comment="UZn12, optimized geometry, DFT PBE-GGA" space_group="I4/mmm (139)" energy_ev_per_atom=-2.08 n_ef_per_ev_fu=10.10 e_form_ev_per_atom=-0.04 pbc="T T T"
U 0.000 0.000 0.000
Zn 2.606 -3.520 2.487
Zn 2.541 -0.927 2.055
Zn 1.971 -4.258 -1.833
Zn 1.906 -1.664 -2.266
Zn 4.260 -2.808 -1.485
Zn 4.634 -2.374 1.061
Zn 3.222 -5.185 0.411
Zn 5.803 -5.184 0.031
Zn 4.873 -4.766 2.677
Zn 4.151 -5.603 -2.235
Zn 7.068 -7.777 0.288
Zn 1.957 -2.592 0.155

---

Record 2
4
Lattice="4.896 0.000 0.000 2.448 4.240 0.000 2.448 1.413 3.998" Properties=species:S:1:pos:R:3 comment="Zr2UZn, optimized geometry, DFT PBE-GGA" space_group="Fm-3m (225)" energy_ev_per_atom=-7.17 n_ef_per_ev_fu=5.70 e_form_ev_per_atom=0.25 pbc="T T T"
Zn 4.896 2.827 1.999
U 0.000 0.000 0.000
Zr 2.448 1.413 0.999
Zr 7.344 4.240 2.998

---

Record 3
4
Lattice="3.967 0.000 0.000 0.000 4.576 0.000 0.000 0.000 4.576" Properties=species:S:1:pos:R:3 comment="Zr2UZn, optimized geometry, DFT PBE-GGA" space_group="P4/mmm (123)" energy_ev_per_atom=-7.32 n_ef_per_ev_fu=6.32 e_form_ev_per_atom=0.09 pbc="T T T"
Zn 1.984 0.000 0.000
U 1.984 2.288 2.288
Zr 0.000 0.000 2.288
Zr 0.000 2.288 0.000

---

Record 4
19
Lattice="-1.379 -6.583 -0.401 6.336 -2.151 -0.787 1.193 -1.515 6.456" Properties=species:S:1:pos:R:3 comment="ZrUZn17, optimized geometry, DFT PBE-GGA" space_group="R3m (160)" energy_ev_per_atom=-2.27 n_ef_per_ev_fu=10.71 e_form_ev_per_atom=-0.08 pbc="T T T"
Zr 2.042 -3.402 1.749
U 4.087 -6.810 3.500
Zn 0.440 -3.023 4.389
Zn 0.926 -5.243 -0.497
Zn 4.778 -1.971 1.371
Zn 4.020 -3.466 -0.652
Zn 2.716 -1.716 4.275
Zn -0.592 -5.056 1.639
Zn 5.307 -4.675 1.465
Zn 2.757 -4.360 5.056
Zn 1.482 -6.873 1.656
Zn 0.967 -5.566 3.751
Zn 3.386 -5.865 0.344
Zn 4.596 -3.481 3.570
Zn 3.020 -9.131 5.616
Zn 5.527 -9.441 2.085
Zn 6.781 -6.970 5.428
Zn 5.551 -9.251 4.755
Zn 0.641 -1.067 0.549

---

Record 5
4
Lattice="-1.082 2.708 2.004 -2.069 -2.195 1.850 4.928 -1.122 4.178" Properties=species:S:1:pos:R:3 comment="Zr2UZn, optimized geometry, DFT PBE-GGA" space_group="P4/mmm (123)" energy_ev_per_atom=-7.28 n_ef_per_ev_fu=7.52 e_form_ev_per_atom=0.13 pbc="T T T"
Zn 0.888 -0.305 4.016
U -1.575 0.257 1.927
Zr 3.678 -0.838 3.119
Zr 1.249 -0.285 1.059

---

Record 6
3
Lattice="-0.914 1.577 2.438 -3.075 -3.828 1.323 1.711 -3.704 3.036" Properties=species:S:1:pos:R:3 comment="Zr2U, optimized geometry, DFT PBE-GGA" space_group="P-6m2 (187)" energy_ev_per_atom=-9.28 n_ef_per_ev_fu=4.27 e_form_ev_per_atom=0.19 pbc="T T T"
U -1.365 -4.232 4.126
Zr 0.000 0.000 0.000
Zr -0.911 -1.722 2.672